Entry 1:
# BeNbPt2 (PBE, optimized geometry)
data_BeNbPt2
_symmetry_space_group_name_H-M 'P 1'
_symmetry_Int_Tables_number 1
_symmetry_space_group_name_Hall 'P 1'
_cell_length_a 2.8149
_cell_length_b 2.8149
_cell_length_c 7.0392
_cell_angle_alpha 90.00
_cell_angle_beta 90.00
_cell_angle_gamma 90.00
loop_
_atom_site_label
_atom_site_type_symbol
_atom_site_fract_x
_atom_site_fract_y
_atom_site_fract_z
_atom_site_occupancy
Be1 Be 0.0000 0.0000 0.0000 1
Nb1 Nb 0.0000 0.0000 0.5000 1
Pt1 Pt 0.5000 0.5000 0.2062 1
Pt2 Pt 0.5000 0.5000 0.7938 1
# Crystal system   tetragonal

=====

Entry 2:
# RbBeNbPt (PBE, optimized geometry)
data_RbBeNbPt
_symmetry_space_group_name_H-M 'P 1'
_symmetry_Int_Tables_number 1
_symmetry_space_group_name_Hall 'P 1'
_cell_length_a 4.6810
_cell_length_b 4.6810
_cell_length_c 4.6810
_cell_angle_alpha 60.00
_cell_angle_beta 60.00
_cell_angle_gamma 60.00
loop_
_atom_site_label
_atom_site_type_symbol
_atom_site_fract_x
_atom_site_fract_y
_atom_site_fract_z
_atom_site_occupancy
Be1 Be 0.7500 0.7500 0.7500 1
Nb1 Nb 0.5000 0.5000 0.5000 1
Pt1 Pt 0.0000 0.0000 0.0000 1
Rb1 Rb 0.2500 0.2500 0.2500 1
# Crystal system   cubic

=====

Entry 3:
# RbBeNbPt (PBE, optimized geometry)
data_RbBeNbPt
_symmetry_space_group_name_H-M 'P 1'
_symmetry_Int_Tables_number 1
_symmetry_space_group_name_Hall 'P 1'
_cell_length_a 4.6531
_cell_length_b 4.6531
_cell_length_c 4.6531
_cell_angle_alpha 60.00
_cell_angle_beta 60.00
_cell_angle_gamma 60.00
loop_
_atom_site_label
_atom_site_type_symbol
_atom_site_fract_x
_atom_site_fract_y
_atom_site_fract_z
_atom_site_occupancy
Be1 Be 0.7500 0.7500 0.7500 1
Nb1 Nb 0.2500 0.2500 0.2500 1
Pt1 Pt 0.0000 0.0000 0.0000 1
Rb1 Rb 0.5000 0.5000 0.5000 1
# Crystal system   cubic

=====

Entry 4:
# PuBeNb (PBE, optimized geometry)
data_PuBeNb
_symmetry_space_group_name_H-M 'P 1'
_symmetry_Int_Tables_number 1
_symmetry_space_group_name_Hall 'P 1'
_cell_length_a 4.3471
_cell_length_b 4.3471
_cell_length_c 4.3471
_cell_angle_alpha 60.00
_cell_angle_beta 60.00
_cell_angle_gamma 60.00
loop_
_atom_site_label
_atom_site_type_symbol
_atom_site_fract_x
_atom_site_fract_y
_atom_site_fract_z
_atom_site_occupancy
Be1 Be 0.2500 0.2500 0.2500 1
Nb1 Nb 0.7500 0.7500 0.7500 1
Pu1 Pu 0.0000 0.0000 0.0000 1
# Crystal system   cubic

=====

Taking the records one at a time from the top gives calculated density values of 14650; 8757; 8915; 9888 kg/m3.
Taking the records one at a time from the top gives polymorph energy (0 for the lowest one) values of 0; 436; 0; 615 meV per atom.